Material: Na2CrWF
Method: DFT, SCAN
State: PBEsol geometry

Lattice parameters (Å, degrees): 4.4118 5.8504 5.8504 90.00 90.00 90.00
With the nearest neighbours (Å) after each atom.
Atoms (fractional coordinates):
Na  0.0000  0.5000  0.0000  2 W 2.93
Cr  0.5000  0.0000  0.0000  2 W 2.21
W  0.0000  0.0000  0.0000  2 Cr 2.21
F  0.5000  0.5000  0.5000  8 Na 3.66
Na  0.0000  0.0000  0.5000  2 W 2.93

* space group: No. 123
* uncorrected formation energy: 994.3 meV/atom



Material: NdSmFe17N3
Method: DFT, SCAN
State: PBEsol geometry

Lattice parameters (Å, degrees): 6.4202 6.4202 6.4202 83.55 83.55 83.55
With the nearest neighbours (Å) after each atom.
Atoms (fractional coordinates):
Fe  0.2820  0.0005  0.7176  1 N 1.86
Fe  0.7176  0.2820  0.0005  1 N 1.86
Fe  0.2820  0.7176  0.0005  1 N 1.86
Fe  0.9998  0.5000  0.9998  10 Fe 2.41-2.63
Fe  0.1415  0.6588  0.6588  1 N 1.88
Fe  0.0947  0.0947  0.0947  4 Fe 2.32-2.60
Fe  0.0005  0.2820  0.7176  1 N 1.86
Fe  0.8598  0.3407  0.3407  1 N 1.89
Fe  0.9998  0.9998  0.5000  10 Fe 2.41-2.63
Fe  0.7176  0.0005  0.2820  1 N 1.86
Fe  0.6588  0.1415  0.6588  1 N 1.88
N  0.4985  0.4985  0.0034  4 Fe 1.86-1.89
Fe  0.5000  0.9998  0.9998  10 Fe 2.41-2.63
Fe  0.3407  0.8598  0.3407  1 N 1.89
Fe  0.3407  0.3407  0.8598  1 N 1.89
N  0.4985  0.0034  0.4985  4 Fe 1.86-1.89
Nd  0.6547  0.6547  0.6547  3 N 2.50
Fe  0.6588  0.6588  0.1415  1 N 1.88
N  0.0034  0.4985  0.4985  4 Fe 1.86-1.89
Fe  0.9059  0.9059  0.9059  1 Fe 2.32
Sm  0.3442  0.3442  0.3442  3 N 2.45
Fe  0.0005  0.7176  0.2820  1 N 1.86

* space group: No. 160
* uncorrected formation energy: -267.3 meV/atom



Material: AlZnTe2
Method: DFT, SCAN
State: PBEsol geometry

Lattice parameters (Å, degrees): 3.5442 5.0082 5.0082 89.90 90.00 90.00
With the nearest neighbours (Å) after each atom.
Atoms (fractional coordinates):
Al  0.5000  0.5000  0.5000  8 Te 3.07
Zn  0.5000  0.0000  0.0000  8 Te 3.07
Te  0.0000  0.0000  0.5000  4 Zn 3.07, 4 Al 3.07
Te  0.0000  0.5000  0.0000  4 Al 3.07, 4 Zn 3.07

* space group: No. 65
* uncorrected formation energy: 225.4 meV/atom



Material: Mg2CoMo
Method: DFT, SCAN
State: PBEsol geometry

Lattice parameters (Å, degrees): 2.7806 2.7806 9.3218 81.42 81.42 60.00
With the nearest neighbours (Å) after each atom.
Atoms (fractional coordinates):
Co  0.0000  0.0000  0.0000  6 Mg 2.66, 6 Co 2.78
Mo  0.5000  0.5000  0.5000  6 Mo 2.78, 6 Mg 2.95
Mg  0.2564  0.2564  0.2308  3 Co 2.66, 6 Mg 2.78, 3 Mo 2.95
Mg  0.7436  0.7436  0.7692  3 Co 2.66, 6 Mg 2.78, 3 Mo 2.95

* space group: No. 166
* formation energy: 0.3429 eV/atom



Material: TcSnTeH2
Method: DFT, SCAN
State: PBEsol geometry

Lattice parameters (Å, degrees): 3.7843 3.7843 5.4616 90.00 90.00 90.00
With the nearest neighbours (Å) after each atom.
Atoms (fractional coordinates):
Te  0.0000  0.0000  0.0000  4 H 1.89
H  0.0000  0.5000  0.0000  2 Te 1.89
Sn  0.5000  0.5000  0.5000  4 Tc 2.68
Tc  0.0000  0.0000  0.5000  4 Sn 2.68, 2 Te 2.73
H  0.5000  0.0000  0.0000  2 Te 1.89

* space group: No. 123
* calculated total energy: -22.55 eV per atom



Material: Zr2ZnPt
Method: DFT, SCAN
State: PBEsol geometry

Lattice parameters (Å, degrees): 3.9538 3.9538 5.3162 111.83 111.83 90.00
With the nearest neighbours (Å) after each atom.
Atoms (fractional coordinates):
Pt  0.5000  0.5000  0.0000  8 Zr 2.80-3.00, 4 Zn 3.00
Zn  0.2500  0.7500  0.5000  8 Zr 2.80-3.00, 4 Pt 3.00
Zr  0.7500  0.2500  0.5000  4 Zn 2.80, 4 Zr 3.00, 4 Pt 3.00
Zr  0.0000  0.0000  0.0000  4 Pt 2.80, 4 Zr 3.00, 4 Zn 3.00

* space group: No. 119
* formation energy: -0.6708 eV/atom